Entry 1:
PrSc2Sn PBE-GGA optimized geometry; E_form = -0.377 eV per atom; energy above the lowest structure with this stoichiometry = 0.011 eV per atom
1.0
6.273 1.189 0.000
-2.116 3.657 0.000
0.000 0.000 8.757
Pr Sc Sn
2 4 2
direct
0.607 0.053 0.250
0.393 0.947 0.750
0.225 0.362 0.050
0.225 0.362 0.450
0.775 0.638 0.950
0.775 0.638 0.550
0.029 0.764 0.250
0.971 0.236 0.750



Entry 2:
PrScSn2 PBE-GGA optimized geometry; E_form = -0.583 eV per atom; energy above the lowest structure with this stoichiometry = 0.033 eV per atom
1.0
-1.551 2.049 -3.728
-3.173 -3.543 -0.628
-3.201 2.397 2.650
Pr Sn Sc
1 2 1
direct
0.500 0.500 0.500
0.000 0.000 0.500
0.000 0.500 0.000
0.500 0.000 0.000



Entry 3:
PrScSn2 PBE-GGA optimized geometry; E_form = -0.584 eV per atom; energy above the lowest structure with this stoichiometry = 0.032 eV per atom
1.0
3.915 0.000 0.000
0.000 3.915 0.000
0.000 0.000 6.889
Sn Pr Sc
2 1 1
direct
0.000 0.000 0.785
0.000 0.000 0.215
0.500 0.500 0.500
0.500 0.500 0.000



Entry 4:
PrScSn2 PBE-GGA optimized geometry; E_form = -0.597 eV per atom; energy above the lowest structure with this stoichiometry = 0.019 eV per atom
1.0
4.873 0.000 0.000
2.436 4.220 0.000
2.436 1.407 5.412
Sc Pr Sn
1 1 2
direct
0.500 0.500 0.500
0.000 0.000 0.000
0.235 0.235 0.295
0.765 0.765 0.705